An optimized crystal structure of Nd2ErTm8, computed with PBE.

The calculation puts the energy relative to the lowest polymorph listed for this composition at 0 meV/atom.

The structure belongs to space group C2/m (No. 12); the cell edges are 18.6097, 6.9373 and 5.5400 Å and the angles 90.00°, 92.53° and 90.00°. Symmetry generates all atoms from Nd at (0.2161, 0.0000, 0.2502), Er at (0.0000, 0.5000, 0.0000), Tm at (0.0459, 0.0000, 0.2364), Tm at (0.1288, 0.2337, 0.7332) and Tm at (0.1834, 0.5000, 0.2337).

An optimized crystal structure of Nd4ErTm4, computed with PBE.

The calculation puts the energy relative to the lowest polymorph listed for this composition at 54 meV/atom.

The structure belongs to space group P-1 (No. 2); the cell edges are 3.5326, 6.1039 and 14.3043 Å and the angles 84.40°, 89.84° and 73.24°. Symmetry generates all atoms from Nd at (0.1537, 0.2049, 0.1745), Nd at (0.2821, 0.9326, 0.6103), Er at (0.0000, 0.5000, 0.5000), Tm at (0.1334, 0.2297, 0.9353) and Tm at (0.4312, 0.6404, 0.2815).

An optimized crystal structure of Nd19Er6Tm4, computed with PBE.

Its total energy is -4.32 eV/atom.

The structure belongs to space group I23 (No. 197); the cell edges are 12.6811, 12.6811 and 12.6811 Å and the angles 90.00°, 90.00° and 90.00°. Symmetry generates all atoms from Nd at (0.0000, 0.0000, 0.0000), Nd at (0.0000, 0.0000, 0.2613), Nd at (0.0630, 0.2806, 0.7379), Er at (0.0000, 0.1254, 0.5000) and Tm at (0.1793, 0.1793, 0.1793).

An optimized crystal structure of Nd2ErTm7, computed with PBE.

The calculation puts the energy relative to the lowest polymorph listed for this composition at 0 meV/atom.

The structure belongs to space group P-1 (No. 2); the cell edges are 6.1040, 6.1078 and 9.3323 Å and the angles 102.60°, 109.08° and 99.55°. Symmetry generates all atoms from Nd at (0.1010, 0.0008, 0.2010), Er at (0.5000, 0.5000, 0.5000), Tm at (0.1014, 0.5006, 0.6996), Tm at (0.2988, 0.9998, 0.5990), Tm at (0.3019, 0.5018, 0.1007) and Tm at (0.5000, 0.0000, 0.0000).

An optimized crystal structure of Nd3Er2Tm2, computed with PBE.

The calculation puts the energy relative to the lowest polymorph listed for this composition at 55 meV/atom.

The structure belongs to space group C2/m (No. 12); the cell edges are 17.5160, 3.5044 and 8.5114 Å and the angles 90.00°, 118.59° and 90.00°. Symmetry generates all atoms from Nd at (0.0000, 0.0000, 0.0000), Nd at (0.2137, 0.0000, 0.2974), Er at (0.0645, 0.5000, 0.4102) and Tm at (0.1426, 0.0000, 0.8208).

An optimized crystal structure of Nd4ErTm7, computed with PBE.

The calculation puts the energy relative to the lowest polymorph listed for this composition at 200 meV/atom.

The structure belongs to space group C2/m (No. 12); the cell edges are 11.9846, 5.8562 and 12.7505 Å and the angles 90.00°, 116.97° and 90.00°. Symmetry generates all atoms from Nd at (0.0870, 0.0000, 0.2957), Nd at (0.1372, 0.5000, 0.7757), Er at (0.0000, 0.5000, 0.0000), Tm at (0.0000, 0.0000, 0.0000), Tm at (0.1309, 0.5000, 0.4868), Tm at (0.1694, 0.0000, 0.6331) and Tm at (0.2101, 0.0000, 0.9187).

An optimized crystal structure of NdEr6Tm2, computed with PBE.

The calculation puts the energy relative to the lowest polymorph listed for this composition at 0 meV/atom.

The structure belongs to space group C2/m (No. 12); the cell edges are 17.1209, 3.5544 and 11.8054 Å and the angles 90.00°, 129.25° and 90.00°. Symmetry generates all atoms from Nd at (0.0000, 0.0000, 0.0000), Er at (0.0379, 0.0000, 0.7398), Er at (0.1287, 0.5000, 0.5927), Er at (0.1677, 0.5000, 0.3356) and Tm at (0.2050, 0.5000, 0.0740).

An optimized crystal structure of Nd6ErTm2, computed with PBE.

The calculation puts the energy relative to the lowest polymorph listed for this composition at 46 meV/atom.

The structure belongs to space group Cmmm (No. 65); the cell edges are 9.3880, 17.6584 and 3.6619 Å and the angles 90.00°, 90.00° and 90.00°. Symmetry generates all atoms from Nd at (0.1758, 0.1656, 0.0000), Nd at (0.1845, 0.0000, 0.5000), Er at (0.0000, 0.5000, 0.0000) and Tm at (0.0000, 0.3239, 0.5000).

An optimized crystal structure of Nd4ErTm7, computed with PBE.

The calculation puts the energy relative to the lowest polymorph listed for this composition at 0 meV/atom.

The structure belongs to space group P-1 (No. 2); the cell edges are 6.5336, 6.8074 and 9.0015 Å and the angles 84.34°, 77.14° and 81.17°. Symmetry generates all atoms from Nd at (0.1407, 0.3073, 0.2874), Nd at (0.3321, 0.8856, 0.6929), Er at (0.5000, 0.5000, 0.0000), Tm at (0.0111, 0.2533, 0.9526), Tm at (0.1817, 0.7968, 0.3544), Tm at (0.3139, 0.3953, 0.6200) and Tm at (0.5000, 0.0000, 0.0000).

An optimized crystal structure of Nd2Er3Tm5, computed with PBE.

The calculation puts the energy relative to the lowest polymorph listed for this composition at 0 meV/atom.

The structure belongs to space group C2/c (No. 15); the cell edges are 10.5043, 15.7447 and 9.3488 Å and the angles 90.00°, 123.92° and 90.00°. Symmetry generates all atoms from Nd at (0.1417, 0.1280, 0.0464), Er at (0.0000, 0.0219, 0.2500), Er at (0.1574, 0.3782, 0.5510), Tm at (0.0000, 0.2315, 0.2500), Tm at (0.0000, 0.2739, 0.7500), Tm at (0.0000, 0.4735, 0.7500) and Tm at (0.2322, 0.3803, 0.2215).

An optimized crystal structure of Nd3Er7Tm2, computed with PBE.

The calculation puts the energy relative to the lowest polymorph listed for this composition at 0 meV/atom.

The structure belongs to space group P2/m (No. 10); the cell edges are 5.7898, 3.5460 and 18.6920 Å and the angles 90.00°, 93.01° and 90.00°. Symmetry generates all atoms from Nd at (0.0000, 0.0000, 0.0000), Nd at (0.2780, 0.5000, 0.6335), Er at (0.1907, 0.5000, 0.1439), Er at (0.2429, 0.0000, 0.4621), Er at (0.3066, 0.0000, 0.8239), Er at (0.5000, 0.5000, 0.0000) and Tm at (0.2102, 0.0000, 0.2919).

An optimized crystal structure of Nd3Er3Tm, computed with PBE.

The calculation puts the energy relative to the lowest polymorph listed for this composition at 0 meV/atom.

The structure belongs to space group P6_3/m (No. 176); the cell edges are 9.5971, 9.5971 and 5.7408 Å and the angles 90.00°, 90.00° and 120.00°. Symmetry generates all atoms from Nd at (0.0493, 0.8056, 0.2500), Er at (0.0952, 0.6159, 0.7500) and Tm at (0.3333, 0.6667, 0.2500).

An optimized crystal structure of Nd3ErTm4, computed with PBE.

The calculation puts the energy relative to the lowest polymorph listed for this composition at 0 meV/atom.

The structure belongs to space group Pmn2_1 (No. 31); the cell edges are 11.3596, 7.2812 and 6.2621 Å and the angles 90.00°, 90.00° and 90.00°. Symmetry generates all atoms from Nd at (0.0000, 0.1284, 0.0000), Nd at (0.2501, 0.1273, 0.3355), Er at (0.0000, 0.8693, 0.4982), Tm at (0.0000, 0.3792, 0.5007), Tm at (0.0000, 0.6205, 0.0013) and Tm at (0.2479, 0.6207, 0.3342).

An optimized crystal structure of Nd2ErTm3, computed with PBE.

Its total energy is -4.46 eV/atom.

The structure belongs to space group C2/m (No. 12); the cell edges are 23.2435, 3.4789 and 10.1495 Å and the angles 90.00°, 108.41° and 90.00°. Symmetry generates all atoms from Nd at (0.0696, 0.0000, 0.1306), Nd at (0.1900, 0.5000, 0.3712), Er at (0.1899, 0.5000, 0.0361), Tm at (0.0581, 0.5000, 0.4446), Tm at (0.0707, 0.0000, 0.7624) and Tm at (0.1946, 0.5000, 0.7151).

An optimized crystal structure of Nd2Er4Tm, computed with PBE.

The calculation puts the energy relative to the lowest polymorph listed for this composition at 0 meV/atom.

The structure belongs to space group Cmce (No. 64); the cell edges are 3.7159, 12.6117 and 19.4812 Å and the angles 90.00°, 90.00° and 90.00°. Symmetry generates all atoms from Nd at (0.0000, 0.1103, 0.1685), Er at (0.0000, 0.1074, 0.6779), Er at (0.0000, 0.2310, 0.9349) and Tm at (0.0000, 0.0000, 0.5000).

An optimized crystal structure of Nd5Er2Tm4, computed with PBE.

The calculation puts the energy relative to the lowest polymorph listed for this composition at 117 meV/atom.

The structure belongs to space group Immm (No. 71); the cell edges are 3.5144, 9.0697 and 23.5277 Å and the angles 90.00°, 90.00° and 90.00°. Symmetry generates all atoms from Nd at (0.0000, 0.0000, 0.0000), Nd at (0.0000, 0.2991, 0.3544), Er at (0.0000, 0.5000, 0.2304), Tm at (0.0000, 0.1840, 0.5000) and Tm at (0.0000, 0.5000, 0.0964).

An optimized crystal structure of Nd5Er12Tm2, computed with PBE.

The calculation puts the energy relative to the lowest polymorph listed for this composition at 96 meV/atom.

The structure belongs to space group C2/m (No. 12); the cell edges are 17.7412, 8.9666 and 8.6467 Å and the angles 90.00°, 115.15° and 90.00°. Symmetry generates all atoms from Nd at (0.0000, 0.0000, 0.0000), Nd at (0.2111, 0.5000, 0.7235), Nd at (0.2356, 0.0000, 0.7887), Er at (0.0443, 0.0000, 0.6808), Er at (0.0576, 0.5000, 0.2119), Er at (0.1271, 0.2785, 0.9539), Er at (0.1445, 0.1867, 0.4024) and Tm at (0.0000, 0.3269, 0.5000).

An optimized crystal structure of Nd2ErTm, computed with PBE.

The calculation puts the energy relative to the lowest polymorph listed for this composition at 6 meV/atom.

The structure belongs to space group P4/mmm (No. 123); the cell edges are 5.1113, 5.1113 and 4.9941 Å and the angles 90.00°, 90.00° and 90.00°. Symmetry generates all atoms from Nd at (0.0000, 0.5000, 0.0000), Er at (0.0000, 0.0000, 0.5000) and Tm at (0.5000, 0.5000, 0.5000).

An optimized crystal structure of Nd2ErTm4, computed with PBE.

The calculation puts the energy relative to the lowest polymorph listed for this composition at 206 meV/atom.

The structure belongs to space group I-42d (No. 122); the cell edges are 9.6951, 9.6951 and 9.7185 Å and the angles 90.00°, 90.00° and 90.00°. Symmetry generates all atoms from Nd at (0.1263, 0.7500, 0.1250), Er at (0.0000, 0.0000, 0.5000) and Tm at (0.0814, 0.6685, 0.4578).